The following is a GGA-PBE calculation of crystalline CsIn at its relaxed geometry, from the Alexandria database.

Structure (POSCAR):
```
CsIn
1.0
5.104 0.000 0.000
0.000 18.148 0.000
0.000 0.000 7.438
Cs In
6 6
Direct
0.250 0.040 0.237
0.250 0.460 0.237
0.250 0.750 0.514
0.750 0.250 0.486
0.750 0.540 0.763
0.750 0.960 0.763
0.250 0.250 0.955
0.250 0.661 0.024
0.250 0.839 0.024
0.750 0.161 0.976
0.750 0.339 0.976
0.750 0.750 0.045
```

Computed properties:
DFT total energy, eV per atom: -1.84
Total moment, μB/cell: 0.0
E above lowest polymorph, kcal/mol of atoms: 1.186
Formation energy, kJ per mole of atoms: -4.35